(1)
Entry from Alexandria via LeMat-Bulk: an optimized crystal structure of Sm2DyHg (PBE).

a b c (Å): 5.1862 5.1862 8.9081
angles (deg): 90.00 90.00 90.00
With the nearest neighbours (Å) after each atom.
Element x y z (fractional)
Sm  0.2500  0.2500  0.2215  4 Hg 3.26, 4 Sm 3.59
Sm  0.2500  0.7500  0.5000  8 Sm 3.59-3.67, 4 Dy 3.60
Sm  0.7500  0.2500  0.5000  8 Sm 3.59-3.67, 4 Dy 3.60
Sm  0.7500  0.7500  0.7785  4 Hg 3.26, 4 Sm 3.59
Dy  0.2500  0.2500  0.7810  4 Hg 3.25, 4 Sm 3.60
Dy  0.7500  0.7500  0.2190  4 Hg 3.25, 4 Sm 3.60
Hg  0.2500  0.7500  0.0000  4 Dy 3.25, 4 Sm 3.26
Hg  0.7500  0.2500  0.0000  4 Dy 3.25, 4 Sm 3.26

Computed properties:
As for the symmetry: P4/nmm (129). Its calculated volume is 30.0 Å³ per atom. Its formation energy is -0.23 eV/atom.

(2)
Entry from Alexandria via LeMat-Bulk: an optimized crystal structure of SmDy6Hg2 (PBE).

a b c (Å): 6.5782 6.5782 11.8599
angles (deg): 107.84 107.84 32.99
With the nearest neighbours (Å) after each atom.
Element x y z (fractional)
Sm  0.0000  0.0000  0.0000  4 Hg 3.21
Dy  0.0158  0.0158  0.3386  2 Hg 3.18, 6 Dy 3.52-3.55
Dy  0.3121  0.3121  0.1244  2 Hg 3.21, 5 Dy 3.42-3.52
Dy  0.3126  0.3126  0.4162  2 Hg 3.24, 8 Dy 3.45-3.56
Dy  0.6874  0.6874  0.5838  2 Hg 3.24, 8 Dy 3.45-3.56
Dy  0.6879  0.6879  0.8756  2 Hg 3.21, 5 Dy 3.42-3.52
Dy  0.9842  0.9842  0.6614  2 Hg 3.18, 6 Dy 3.52-3.55
Hg  0.3527  0.3527  0.7879  6 Dy 3.18-3.24, 2 Sm 3.21
Hg  0.6473  0.6473  0.2121  6 Dy 3.18-3.24, 2 Sm 3.21

Computed properties:
As for the symmetry: C2/m (12). Its calculated volume is 29.4 Å³ per atom. Its formation energy is -0.21 eV/atom.

(3)
Entry from Alexandria via LeMat-Bulk: an optimized crystal structure of SmDy2Hg3 (PBE).

a b c (Å): 8.3527 8.3527 7.5525
angles (deg): 90.00 90.00 143.22
With the nearest neighbours (Å) after each atom.
Element x y z (fractional)
Sm  0.1660  0.8340  0.0000  8 Hg 3.27-3.32
Sm  0.8340  0.1660  0.0000  8 Hg 3.27-3.32
Dy  0.1680  0.8320  0.5000  8 Hg 3.21-3.23
Dy  0.5000  0.5000  0.0000  8 Hg 3.26-3.28
Dy  0.5000  0.5000  0.5000  8 Hg 3.18-3.21
Dy  0.8320  0.1680  0.5000  8 Hg 3.21-3.23
Hg  0.0000  0.0000  0.2579  6 Dy 3.21-3.28, 2 Sm 3.27
Hg  0.0000  0.0000  0.7421  6 Dy 3.21-3.28, 2 Sm 3.27
Hg  0.3355  0.6645  0.2584  5 Dy 3.18-3.26, 3 Sm 3.28-3.32
Hg  0.3355  0.6645  0.7416  5 Dy 3.18-3.26, 3 Sm 3.28-3.32
Hg  0.6645  0.3355  0.2584  5 Dy 3.18-3.26, 3 Sm 3.28-3.32
Hg  0.6645  0.3355  0.7416  5 Dy 3.18-3.26, 3 Sm 3.28-3.32

Computed properties:
As for the symmetry: Cmmm (65). Its calculated volume is 26.3 Å³ per atom. Its formation energy is -0.48 eV/atom.